A geometry-optimized Mg14MnCrO16 structure. Source: the Alexandria database, functional GGA+U.

Results
E above lowest polymorph ... 0.59 kJ per mole of atoms
Density ... 3.69 Mg/m³

abc: 8.536 8.536 4.337
angles: 90.00 90.00 90.00
Atoms (fractional coordinates):
Mg: 0.000 0.249 0.000
Mg: 0.000 0.500 0.500
Mg: 0.000 0.751 0.000
Mg: 0.248 0.500 0.000
Mg: 0.249 0.000 0.000
Mg: 0.250 0.250 0.500
Mg: 0.250 0.750 0.500
Mg: 0.500 0.000 0.500
Mg: 0.500 0.248 0.000
Mg: 0.500 0.752 0.000
Mg: 0.750 0.250 0.500
Mg: 0.750 0.750 0.500
Mg: 0.751 0.000 0.000
Mg: 0.752 0.500 0.000
Mn: 0.500 0.500 0.500
Cr: 0.000 0.000 0.500
O: 0.000 0.000 0.000
O: 0.000 0.253 0.500
O: 0.000 0.500 0.000
O: 0.000 0.747 0.500
O: 0.243 0.500 0.500
O: 0.250 0.250 0.000
O: 0.250 0.750 0.000
O: 0.253 0.000 0.500
O: 0.500 0.000 0.000
O: 0.500 0.243 0.500
O: 0.500 0.500 0.000
O: 0.500 0.757 0.500
O: 0.747 0.000 0.500
O: 0.750 0.250 0.000
O: 0.750 0.750 0.000
O: 0.757 0.500 0.500